# TcNiPb2 PBE optimized geometry
data_TcNiPb2
_chemical_formula_sum 'Tc2 Ni2 Pb4'
_cell_length_a 3.2068
_cell_length_b 4.4991
_cell_length_c 11.6271
_cell_angle_alpha 90.00
_cell_angle_beta 90.00
_cell_angle_gamma 90.00
_symmetry_space_group_name_H-M 'I m m 2'
_symmetry_Int_Tables_number 44
_symmetry_space_group_name_Hall 'I 2 -2'
loop_
_atom_site_label
_atom_site_type_symbol
_atom_site_fract_x
_atom_site_fract_y
_atom_site_fract_z
Tc1 Tc 0.0000 0.0000 0.0000
Ni1 Ni 0.0000 0.5000 0.3329
Pb1 Pb 0.0000 0.0000 0.5142
Pb2 Pb 0.0000 0.5000 0.7425
# energy of formation = 543 meV per atom
# raw total energy = -5.35 eV/atom


# Tc3NiPb PBE optimized geometry
data_Tc3NiPb
_chemical_formula_sum 'Tc3 Ni1 Pb1'
_cell_length_a 4.9167
_cell_length_b 4.9167
_cell_length_c 4.9167
_cell_angle_alpha 90.00
_cell_angle_beta 90.00
_cell_angle_gamma 90.00
_symmetry_space_group_name_H-M 'P m -3 m'
_symmetry_Int_Tables_number 221
_symmetry_space_group_name_Hall '-P 4 2 3'
loop_
_atom_site_label
_atom_site_type_symbol
_atom_site_fract_x
_atom_site_fract_y
_atom_site_fract_z
Tc1 Tc 0.0000 0.0000 0.5000
Ni1 Ni 0.5000 0.5000 0.5000
Pb1 Pb 0.0000 0.0000 0.0000
# energy of formation = 2914 meV per atom
# raw total energy = -5.20 eV/atom


# TcNiPb3 PBE optimized geometry
data_TcNiPb3
_chemical_formula_sum 'Tc1 Ni1 Pb3'
_cell_length_a 5.2958
_cell_length_b 5.2958
_cell_length_c 5.2958
_cell_angle_alpha 90.00
_cell_angle_beta 90.00
_cell_angle_gamma 90.00
_symmetry_space_group_name_H-M 'P m -3 m'
_symmetry_Int_Tables_number 221
_symmetry_space_group_name_Hall '-P 4 2 3'
loop_
_atom_site_label
_atom_site_type_symbol
_atom_site_fract_x
_atom_site_fract_y
_atom_site_fract_z
Tc1 Tc 0.0000 0.0000 0.0000
Ni1 Ni 0.5000 0.5000 0.5000
Pb1 Pb 0.0000 0.0000 0.5000
# energy of formation = 858 meV per atom
# raw total energy = -4.60 eV/atom


# TcNi2Pb PBE optimized geometry
data_TcNi2Pb
_chemical_formula_sum 'Tc4 Ni8 Pb4'
_cell_length_a 6.2397
_cell_length_b 6.2397
_cell_length_c 6.2397
_cell_angle_alpha 90.00
_cell_angle_beta 90.00
_cell_angle_gamma 90.00
_symmetry_space_group_name_H-M 'F -4 3 m'
_symmetry_Int_Tables_number 216
_symmetry_space_group_name_Hall 'F -4 2 3'
loop_
_atom_site_label
_atom_site_type_symbol
_atom_site_fract_x
_atom_site_fract_y
_atom_site_fract_z
Tc1 Tc 0.0000 0.0000 0.0000
Ni1 Ni 0.0000 0.0000 0.5000
Ni2 Ni 0.2500 0.2500 0.2500
Pb1 Pb 0.2500 0.2500 0.7500
# energy of formation = 464 meV per atom
# raw total energy = -5.94 eV/atom


# TcNi2Pb PBE optimized geometry
data_TcNi2Pb
_chemical_formula_sum 'Tc1 Ni2 Pb1'
_cell_length_a 2.8961
_cell_length_b 4.2827
_cell_length_c 4.8874
_cell_angle_alpha 90.00
_cell_angle_beta 90.00
_cell_angle_gamma 90.00
_symmetry_space_group_name_H-M 'P m m 2'
_symmetry_Int_Tables_number 25
_symmetry_space_group_name_Hall 'P 2 -2'
loop_
_atom_site_label
_atom_site_type_symbol
_atom_site_fract_x
_atom_site_fract_y
_atom_site_fract_z
Tc1 Tc 0.0000 0.0000 0.0000
Ni1 Ni 0.5000 0.0000 0.5692
Ni2 Ni 0.5000 0.5000 0.8632
Pb1 Pb 0.0000 0.5000 0.3757
# energy of formation = 407 meV per atom
# raw total energy = -6.00 eV/atom


# TcNiPb2 PBE optimized geometry
data_TcNiPb2
_chemical_formula_sum 'Tc3 Ni3 Pb6'
_cell_length_a 3.2983
_cell_length_b 3.2983
_cell_length_c 24.8331
_cell_angle_alpha 90.00
_cell_angle_beta 90.00
_cell_angle_gamma 120.00
_symmetry_space_group_name_H-M 'R -3 m'
_symmetry_Int_Tables_number 166
_symmetry_space_group_name_Hall '-R 3 2"'
loop_
_atom_site_label
_atom_site_type_symbol
_atom_site_fract_x
_atom_site_fract_y
_atom_site_fract_z
Tc1 Tc 0.0000 0.0000 0.0000
Ni1 Ni 0.0000 0.0000 0.5000
Pb1 Pb 0.0000 0.0000 0.2473
# energy of formation = 612 meV per atom
# raw total energy = -5.28 eV/atom


# TcNiPb2 PBE optimized geometry
data_TcNiPb2
_chemical_formula_sum 'Tc2 Ni2 Pb4'
_cell_length_a 3.5120
_cell_length_b 5.4510
_cell_length_c 8.3071
_cell_angle_alpha 90.00
_cell_angle_beta 90.00
_cell_angle_gamma 90.00
_symmetry_space_group_name_H-M 'C m m m'
_symmetry_Int_Tables_number 65
_symmetry_space_group_name_Hall '-C 2 2'
loop_
_atom_site_label
_atom_site_type_symbol
_atom_site_fract_x
_atom_site_fract_y
_atom_site_fract_z
Tc1 Tc 0.0000 0.0000 0.0000
Ni1 Ni 0.0000 0.0000 0.5000
Pb1 Pb 0.0000 0.5000 0.2601
# energy of formation = 680 meV per atom
# raw total energy = -5.21 eV/atom


# TcNi2Pb PBE optimized geometry
data_TcNi2Pb
_chemical_formula_sum 'Tc1 Ni2 Pb1'
_cell_length_a 3.9530
_cell_length_b 3.9530
_cell_length_c 3.8396
_cell_angle_alpha 90.00
_cell_angle_beta 90.00
_cell_angle_gamma 90.00
_symmetry_space_group_name_H-M 'P 4/m m m'
_symmetry_Int_Tables_number 123
_symmetry_space_group_name_Hall '-P 4 2'
loop_
_atom_site_label
_atom_site_type_symbol
_atom_site_fract_x
_atom_site_fract_y
_atom_site_fract_z
Tc1 Tc 0.0000 0.0000 0.0000
Ni1 Ni 0.0000 0.5000 0.5000
Pb1 Pb 0.5000 0.5000 0.0000
# energy of formation = 405 meV per atom
# raw total energy = -6.00 eV/atom


# TcNi2Pb PBE optimized geometry
data_TcNi2Pb
_chemical_formula_sum 'Tc2 Ni4 Pb2'
_cell_length_a 8.4896
_cell_length_b 3.0106
_cell_length_c 4.9981
_cell_angle_alpha 90.00
_cell_angle_beta 99.09
_cell_angle_gamma 90.00
_symmetry_space_group_name_H-M 'C 1 2/m 1'
_symmetry_Int_Tables_number 12
_symmetry_space_group_name_Hall '-C 2y'
loop_
_atom_site_label
_atom_site_type_symbol
_atom_site_fract_x
_atom_site_fract_y
_atom_site_fract_z
Tc1 Tc 0.0000 0.0000 0.0000
Ni1 Ni 0.2388 0.5000 0.1933
Pb1 Pb 0.0000 0.5000 0.5000
# energy of formation = 438 meV per atom
# raw total energy = -5.97 eV/atom


# TcNiPb2 PBE optimized geometry
data_TcNiPb2
_chemical_formula_sum 'Tc4 Ni4 Pb8'
_cell_length_a 7.3745
_cell_length_b 7.3745
_cell_length_c 6.1906
_cell_angle_alpha 90.00
_cell_angle_beta 90.00
_cell_angle_gamma 90.00
_symmetry_space_group_name_H-M 'I -4 2 d'
_symmetry_Int_Tables_number 122
_symmetry_space_group_name_Hall 'I -4 2bw'
loop_
_atom_site_label
_atom_site_type_symbol
_atom_site_fract_x
_atom_site_fract_y
_atom_site_fract_z
Tc1 Tc 0.0000 0.0000 0.0000
Ni1 Ni 0.0000 0.0000 0.5000
Pb1 Pb 0.2223 0.2500 0.6250
# energy of formation = 825 meV per atom
# raw total energy = -5.07 eV/atom


# TcNi2Pb PBE optimized geometry
data_TcNi2Pb
_chemical_formula_sum 'Tc4 Ni8 Pb4'
_cell_length_a 3.9540
_cell_length_b 3.9540
_cell_length_c 17.4461
_cell_angle_alpha 90.00
_cell_angle_beta 90.00
_cell_angle_gamma 90.00
_symmetry_space_group_name_H-M 'I -4 2 d'
_symmetry_Int_Tables_number 122
_symmetry_space_group_name_Hall 'I -4 2bw'
loop_
_atom_site_label
_atom_site_type_symbol
_atom_site_fract_x
_atom_site_fract_y
_atom_site_fract_z
Tc1 Tc 0.0000 0.0000 0.0000
Ni1 Ni 0.1977 0.2500 0.1250
Pb1 Pb 0.0000 0.0000 0.5000
# energy of formation = 756 meV per atom
# raw total energy = -5.65 eV/atom


# TcNiPb2 PBE optimized geometry
data_TcNiPb2
_chemical_formula_sum 'Tc4 Ni4 Pb8'
_cell_length_a 6.8881
_cell_length_b 6.8881
_cell_length_c 6.8881
_cell_angle_alpha 90.00
_cell_angle_beta 90.00
_cell_angle_gamma 90.00
_symmetry_space_group_name_H-M 'F -4 3 m'
_symmetry_Int_Tables_number 216
_symmetry_space_group_name_Hall 'F -4 2 3'
loop_
_atom_site_label
_atom_site_type_symbol
_atom_site_fract_x
_atom_site_fract_y
_atom_site_fract_z
Tc1 Tc 0.0000 0.0000 0.0000
Ni1 Ni 0.2500 0.2500 0.2500
Pb1 Pb 0.0000 0.0000 0.5000
Pb2 Pb 0.2500 0.2500 0.7500
# energy of formation = 888 meV per atom
# raw total energy = -5.00 eV/atom


# TcNi2Pb PBE optimized geometry
data_TcNi2Pb
_chemical_formula_sum 'Tc1 Ni2 Pb1'
_cell_length_a 2.9482
_cell_length_b 3.6154
_cell_length_c 5.7577
_cell_angle_alpha 90.00
_cell_angle_beta 90.00
_cell_angle_gamma 90.00
_symmetry_space_group_name_H-M 'P m m m'
_symmetry_Int_Tables_number 47
_symmetry_space_group_name_Hall '-P 2 2'
loop_
_atom_site_label
_atom_site_type_symbol
_atom_site_fract_x
_atom_site_fract_y
_atom_site_fract_z
Tc1 Tc 0.0000 0.0000 0.0000
Ni1 Ni 0.5000 0.5000 0.2090
Pb1 Pb 0.0000 0.0000 0.5000
# energy of formation = 370 meV per atom
# raw total energy = -6.04 eV/atom


# TcNi2Pb PBE optimized geometry
data_TcNi2Pb
_chemical_formula_sum 'Tc3 Ni6 Pb3'
_cell_length_a 2.9907
_cell_length_b 2.9907
_cell_length_c 24.6927
_cell_angle_alpha 90.00
_cell_angle_beta 90.00
_cell_angle_gamma 120.00
_symmetry_space_group_name_H-M 'R 3 m'
_symmetry_Int_Tables_number 160
_symmetry_space_group_name_Hall 'R 3 -2"'
loop_
_atom_site_label
_atom_site_type_symbol
_atom_site_fract_x
_atom_site_fract_y
_atom_site_fract_z
Tc1 Tc 0.0000 0.0000 0.0000
Ni1 Ni 0.0000 0.0000 0.4784
Ni2 Ni 0.0000 0.0000 0.7401
Pb1 Pb 0.0000 0.0000 0.2338
# energy of formation = 642 meV per atom
# raw total energy = -5.77 eV/atom


# TcNi2Pb PBE optimized geometry
data_TcNi2Pb
_chemical_formula_sum 'Tc3 Ni6 Pb3'
_cell_length_a 2.9288
_cell_length_b 2.9288
_cell_length_c 25.8670
_cell_angle_alpha 90.00
_cell_angle_beta 90.00
_cell_angle_gamma 120.00
_symmetry_space_group_name_H-M 'R -3 m'
_symmetry_Int_Tables_number 166
_symmetry_space_group_name_Hall '-R 3 2"'
loop_
_atom_site_label
_atom_site_type_symbol
_atom_site_fract_x
_atom_site_fract_y
_atom_site_fract_z
Tc1 Tc 0.0000 0.0000 0.0000
Ni1 Ni 0.0000 0.0000 0.2587
Pb1 Pb 0.0000 0.0000 0.5000
# energy of formation = 557 meV per atom
# raw total energy = -5.85 eV/atom


# TcNiPb2 PBE optimized geometry
data_TcNiPb2
_chemical_formula_sum 'Tc1 Ni1 Pb2'
_cell_length_a 3.1504
_cell_length_b 3.1504
_cell_length_c 8.6662
_cell_angle_alpha 90.00
_cell_angle_beta 90.00
_cell_angle_gamma 90.00
_symmetry_space_group_name_H-M 'P 4 m m'
_symmetry_Int_Tables_number 99
_symmetry_space_group_name_Hall 'P 4 -2'
loop_
_atom_site_label
_atom_site_type_symbol
_atom_site_fract_x
_atom_site_fract_y
_atom_site_fract_z
Tc1 Tc 0.0000 0.0000 0.0000
Ni1 Ni 0.5000 0.5000 0.1404
Pb1 Pb 0.0000 0.0000 0.3580
Pb2 Pb 0.5000 0.5000 0.7573
# energy of formation = 351 meV per atom
# raw total energy = -5.54 eV/atom


# Tc3NiPb PBE optimized geometry
data_Tc3NiPb
_chemical_formula_sum 'Tc3 Ni1 Pb1'
_cell_length_a 4.5364
_cell_length_b 4.5364
_cell_length_c 4.5364
_cell_angle_alpha 90.00
_cell_angle_beta 90.00
_cell_angle_gamma 90.00
_symmetry_space_group_name_H-M 'P m -3 m'
_symmetry_Int_Tables_number 221
_symmetry_space_group_name_Hall '-P 4 2 3'
loop_
_atom_site_label
_atom_site_type_symbol
_atom_site_fract_x
_atom_site_fract_y
_atom_site_fract_z
Tc1 Tc 0.0000 0.0000 0.5000
Ni1 Ni 0.0000 0.0000 0.0000
Pb1 Pb 0.5000 0.5000 0.5000
# energy of formation = 1310 meV per atom
# raw total energy = -6.81 eV/atom


# TcNiPb2 PBE optimized geometry
data_TcNiPb2
_chemical_formula_sum 'Tc1 Ni1 Pb2'
_cell_length_a 3.4322
_cell_length_b 3.4230
_cell_length_c 6.3849
_cell_angle_alpha 90.00
_cell_angle_beta 90.41
_cell_angle_gamma 90.00
_symmetry_space_group_name_H-M 'P 1 2/m 1'
_symmetry_Int_Tables_number 10
_symmetry_space_group_name_Hall '-P 2y'
loop_
_atom_site_label
_atom_site_type_symbol
_atom_site_fract_x
_atom_site_fract_y
_atom_site_fract_z
Tc1 Tc 0.0000 0.0000 0.0000
Ni1 Ni 0.0000 0.0000 0.5000
Pb1 Pb 0.4978 0.5000 0.7480
# energy of formation = 545 meV per atom
# raw total energy = -5.35 eV/atom


# TcNi2Pb PBE optimized geometry
data_TcNi2Pb
_chemical_formula_sum 'Tc2 Ni4 Pb2'
_cell_length_a 8.4448
_cell_length_b 2.9930
_cell_length_c 4.9827
_cell_angle_alpha 90.00
_cell_angle_beta 101.69
_cell_angle_gamma 90.00
_symmetry_space_group_name_H-M 'C 1 m 1'
_symmetry_Int_Tables_number 8
_symmetry_space_group_name_Hall 'C -2y'
loop_
_atom_site_label
_atom_site_type_symbol
_atom_site_fract_x
_atom_site_fract_y
_atom_site_fract_z
Tc1 Tc 0.0000 0.0000 0.0000
Ni1 Ni 0.0161 0.5000 0.5996
Ni2 Ni 0.2589 0.0000 0.8179
Pb1 Pb 0.2622 0.5000 0.3340
# energy of formation = 384 meV per atom
# raw total energy = -6.03 eV/atom


# TcNi2Pb PBE optimized geometry
data_TcNi2Pb
_chemical_formula_sum 'Tc1 Ni2 Pb1'
_cell_length_a 3.0939
_cell_length_b 3.0939
_cell_length_c 6.3698
_cell_angle_alpha 90.00
_cell_angle_beta 90.00
_cell_angle_gamma 90.00
_symmetry_space_group_name_H-M 'P 4 m m'
_symmetry_Int_Tables_number 99
_symmetry_space_group_name_Hall 'P 4 -2'
loop_
_atom_site_label
_atom_site_type_symbol
_atom_site_fract_x
_atom_site_fract_y
_atom_site_fract_z
Tc1 Tc 0.0000 0.0000 0.0000
Ni1 Ni 0.0000 0.0000 0.4008
Ni2 Ni 0.5000 0.5000 0.2030
Pb1 Pb 0.5000 0.5000 0.6742
# energy of formation = 397 meV per atom
# raw total energy = -6.01 eV/atom


Number 1: D(E_F) 9.65 states/eV per cell. Number 2: D(E_F) 10.85 states/eV per cell. Number 3: D(E_F) 28.10 states/eV per cell. Number 4: D(E_F) 9.07 states/eV per cell. Number 5: D(E_F) 4.81 states/eV per cell. Number 6: D(E_F) 15.15 states/eV per cell. Number 7: D(E_F) 7.00 states/eV per cell. Number 8: D(E_F) 3.83 states/eV per cell. Number 9: D(E_F) 8.65 states/eV per cell. Number 10: D(E_F) 18.60 states/eV per cell. Number 11: D(E_F) 16.57 states/eV per cell. Number 12: D(E_F) 17.27 states/eV per cell. Number 13: D(E_F) 5.47 states/eV per cell. Number 14: D(E_F) 17.45 states/eV per cell. Number 15: D(E_F) 19.18 states/eV per cell. Number 16: D(E_F) 5.41 states/eV per cell. Number 17: D(E_F) 5.28 states/eV per cell. Number 18: D(E_F) 3.46 states/eV per cell. Number 19: D(E_F) 6.51 states/eV per cell. Number 20: D(E_F) 4.14 states/eV per cell.